Entry 1:
A relaxed structure of CaTlCrTe2, computed with PBE.

Cell and atoms, written as extended XYZ:
```
5
Lattice="-4.5671 -0.9260 -3.5500 2.3862 -5.0142 -1.7619 -2.7754 -2.8353 4.3101" Properties=species:S:1:pos:R:3 pbc="T T T"
Cr -2.4781 -4.3877 -0.5009
Tl 1.1931 -2.5071 -0.8810
Te -1.3877 -1.4176 2.1551
Te -2.2836 -0.4630 -1.7750
Ca 0.0000 0.0000 0.0000
```

Values from the calculation:
M_tot (μB/f.u.): 5.11
Space-group type: P4/mmm, No. 123
Formation energy from raw total energies (eV per atom): 0.4263
D(E_F) (states/eV/f.u.): 4.36

Entry 2:
A relaxed structure of BeF, computed with PBE.

Cell and atoms, written as extended XYZ:
```
4
Lattice="-0.8594 2.0056 -1.5642 -3.4145 -1.9027 1.7369 2.2245 3.2408 2.9995" Properties=species:S:1:pos:R:3 pbc="T T T"
Be -1.6528 0.4230 2.6301
Be -0.3967 2.9206 0.5421
F -0.5418 1.3734 3.2452
F -1.5077 1.9702 -0.0730
```

Values from the calculation:
M_tot (μB/f.u.): 0.00
Space-group type: P-1, No. 2
Relative energy among the computed polymorphs (eV/atom): 0.113
Formation energy from raw total energies (eV per atom): -1.8944

Entry 3:
A relaxed structure of Zr3BSb, computed with PBE.

Cell and atoms, written as extended XYZ:
```
5
Lattice="4.6455 0.0000 0.0000 0.0000 4.6455 0.0000 0.0000 0.0000 4.6455" Properties=species:S:1:pos:R:3 pbc="T T T"
Sb 2.3228 2.3228 2.3228
B 0.0000 0.0000 0.0000
Zr 0.0000 2.3228 0.0000
Zr 0.0000 0.0000 2.3228
Zr 2.3228 0.0000 0.0000
```

Values from the calculation:
M_tot (μB/f.u.): 0.00
Space-group type: Pm-3m, No. 221
Relative energy among the computed polymorphs (eV/atom): 0.000
Formation energy from raw total energies (eV per atom): -0.4372
D(E_F) (states/eV/f.u.): 3.51

Entry 4:
A relaxed structure of NdSmGa4, computed with PBE.

Cell and atoms, written as extended XYZ:
```
6
Lattice="5.6119 0.0000 0.0000 2.8060 4.8601 0.0000 2.8060 1.6200 4.5821" Properties=species:S:1:pos:R:3 pbc="T T T"
Nd 0.0000 0.0000 0.0000
Ga 5.6119 3.2400 0.5735
Ga 5.6119 1.6207 2.8636
Ga 7.0143 4.0497 2.8636
Ga 4.2095 4.0497 2.8636
Sm 2.8060 1.6200 1.1455
```

Values from the calculation:
M_tot (μB/f.u.): 0.00
Space-group type: F-43m, No. 216
Formation energy from the elements (eV/atom): -0.57
Relative energy among the computed polymorphs (eV/atom): 0.121
D(E_F) (states/eV/f.u.): 4.47